1.
# Ba3V2H12C10O28, PBEsol geometry, DFT SCAN
data_Ba3V2H12C10O28
_chemical_formula_sum 'Ba12 V8 H48 C40 O112'
_space_group_name_H-M_alt 'C 1 2/c 1'
_space_group_IT_number 15
_cell_length_a 10.132
_cell_length_b 15.001
_cell_length_c 18.347
_cell_angle_alpha 90.00
_cell_angle_beta 100.96
_cell_angle_gamma 90.00
loop_
_space_group_symop_operation_xyz
'x,y,z'
'-x,-y,-z'
'-x,y,-z+1/2'
'x,-y,z+1/2'
'x+1/2,y+1/2,z'
'-x+1/2,-y+1/2,-z'
'-x+1/2,y+1/2,-z+1/2'
'x+1/2,-y+1/2,z+1/2'
loop_
_atom_site_label
_atom_site_fract_x
_atom_site_fract_y
_atom_site_fract_z
Ba1 0.000 0.217 0.250
Ba2 0.174 0.027 0.456
V1 0.192 0.401 0.345
H1 0.023 0.329 0.581
H2 0.033 0.174 0.967
H3 0.070 0.255 0.641
H4 0.127 0.161 0.045
H5 0.175 0.285 0.890
H6 0.210 0.283 0.113
C1 0.002 0.494 0.589
C2 0.072 0.421 0.123
C3 0.119 0.029 0.170
C4 0.220 0.262 0.459
C5 0.240 0.049 0.233
O1 0.001 0.268 0.598
O2 0.001 0.372 0.342
O3 0.013 0.072 0.165
O4 0.066 0.127 0.004
O5 0.070 0.435 0.565
O6 0.124 0.492 0.912
O7 0.136 0.034 0.625
O8 0.160 0.496 0.268
O9 0.164 0.205 0.415
O10 0.186 0.401 0.112
O11 0.227 0.218 0.110
O12 0.227 0.318 0.296
O13 0.232 0.108 0.278
O14 0.236 0.345 0.445
# Total energy in eV per atom: -10.14
# Magnetic moment in μB per cell: 8.00
# N(E_F) in states/eV/cell: 0.0



2.
# BaHfC3, PBEsol geometry, DFT SCAN
data_BaHfC3
_chemical_formula_sum 'Ba1 Hf1 C3'
_space_group_name_H-M_alt 'P m -3 m'
_space_group_IT_number 221
_space_group_name_Hall '-P 4 2 3'
_cell_length_a 4.386
_cell_length_b 4.386
_cell_length_c 4.386
_cell_angle_alpha 90.00
_cell_angle_beta 90.00
_cell_angle_gamma 90.00
loop_
_atom_site_label
_atom_site_fract_x
_atom_site_fract_y
_atom_site_fract_z
Ba1 0.000 0.000 0.000
Hf1 0.500 0.500 0.500
C1 0.000 0.500 0.500
# Magnetic moment in μB per cell: 0.00
# Energy relative to the elements in meV per atom: 1019
# N(E_F) in states/eV/cell: 2.2



3.
# Ba2HfPC, PBEsol geometry, DFT SCAN
data_Ba2HfPC
_chemical_formula_sum 'Ba2 Hf1 P1 C1'
_space_group_name_H-M_alt 'P 4/m m m'
_space_group_IT_number 123
_space_group_name_Hall '-P 4 2'
_cell_length_a 5.608
_cell_length_b 5.608
_cell_length_c 4.361
_cell_angle_alpha 90.00
_cell_angle_beta 90.00
_cell_angle_gamma 90.00
loop_
_atom_site_label
_atom_site_fract_x
_atom_site_fract_y
_atom_site_fract_z
Ba1 0.000 0.500 0.000
Hf1 0.000 0.000 0.500
P1 0.500 0.500 0.500
C1 0.000 0.000 0.000
# Magnetic moment in μB per cell: 0.00
# Energy relative to the elements in meV per atom: 103
# N(E_F) in states/eV/cell: 3.6



4.
# BaTa2HgC, PBEsol geometry, DFT SCAN
data_BaTa2HgC
_chemical_formula_sum 'Ba1 Ta2 Hg1 C1'
_space_group_name_H-M_alt 'P 4/m m m'
_space_group_IT_number 123
_space_group_name_Hall '-P 4 2'
_cell_length_a 5.196
_cell_length_b 5.196
_cell_length_c 4.338
_cell_angle_alpha 90.00
_cell_angle_beta 90.00
_cell_angle_gamma 90.00
loop_
_atom_site_label
_atom_site_fract_x
_atom_site_fract_y
_atom_site_fract_z
Ba1 0.000 0.000 0.000
Ta1 0.000 0.500 0.000
Hg1 0.500 0.500 0.500
C1 0.000 0.000 0.500
# Magnetic moment in μB per cell: 0.00
# Energy relative to the elements in meV per atom: 3421
# N(E_F) in states/eV/cell: 5.5



5.
# KBaInC2, PBEsol geometry, DFT SCAN
data_KBaInC2
_chemical_formula_sum 'K1 Ba1 In1 C2'
_space_group_name_H-M_alt 'P 4/m m m'
_space_group_IT_number 123
_space_group_name_Hall '-P 4 2'
_cell_length_a 4.861
_cell_length_b 4.861
_cell_length_c 5.879
_cell_angle_alpha 90.00
_cell_angle_beta 90.00
_cell_angle_gamma 90.00
loop_
_atom_site_label
_atom_site_fract_x
_atom_site_fract_y
_atom_site_fract_z
K1 0.000 0.000 0.000
Ba1 0.000 0.000 0.500
In1 0.500 0.500 0.000
C1 0.000 0.500 0.500
# Magnetic moment in μB per cell: 1.00
# Energy relative to the elements in meV per atom: 2248
# N(E_F) in states/eV/cell: 2.6



6.
# BaInCN2, PBEsol geometry, DFT SCAN
data_BaInCN2
_chemical_formula_sum 'Ba1 In1 C1 N2'
_space_group_name_H-M_alt 'P 4/m m m'
_space_group_IT_number 123
_space_group_name_Hall '-P 4 2'
_cell_length_a 4.623
_cell_length_b 4.623
_cell_length_c 5.031
_cell_angle_alpha 90.00
_cell_angle_beta 90.00
_cell_angle_gamma 90.00
loop_
_atom_site_label
_atom_site_fract_x
_atom_site_fract_y
_atom_site_fract_z
Ba1 0.000 0.000 0.000
In1 0.500 0.500 0.500
C1 0.000 0.000 0.500
N1 0.000 0.500 0.000
# Total energy in eV per atom: -17.84
# Magnetic moment in μB per cell: 4.37
# N(E_F) in states/eV/cell: 2.6